A plane-wave DFT calculation with PBE was carried out for a relaxed La2AlBi crystal.

abc: 8.6995 8.6995 6.8911
angles: 90.00 90.00 90.00
Last column: nearest neighbours and their distance in Å.
Fractional positions:
La  0.2446  0.2500  0.1250  2 Al 3.16, 2 Bi 3.23, 2 La 3.45
La  0.2500  0.7446  0.3750  2 Al 3.16, 2 Bi 3.23, 2 La 3.45
La  0.2500  0.7554  0.8750  2 Al 3.16, 2 Bi 3.23, 2 La 3.45
La  0.2554  0.2500  0.6250  2 Al 3.16, 2 Bi 3.23, 2 La 3.45
La  0.7446  0.7500  0.6250  2 Al 3.16, 2 Bi 3.23, 2 La 3.45
La  0.7500  0.2446  0.8750  2 Al 3.16, 2 Bi 3.23, 2 La 3.45
La  0.7500  0.2554  0.3750  2 Al 3.16, 2 Bi 3.23, 2 La 3.45
La  0.7554  0.7500  0.1250  2 Al 3.16, 2 Bi 3.23, 2 La 3.45
Al  0.0000  0.0000  0.0000  4 La 3.16, 2 Bi 3.45
Al  0.0000  0.5000  0.2500  4 La 3.16, 2 Bi 3.45
Al  0.5000  0.0000  0.7500  4 La 3.16, 2 Bi 3.45
Al  0.5000  0.5000  0.5000  4 La 3.16, 2 Bi 3.45
Bi  0.0000  0.0000  0.5000  4 La 3.23, 2 Al 3.45
Bi  0.0000  0.5000  0.7500  4 La 3.23, 2 Al 3.45
Bi  0.5000  0.0000  0.2500  4 La 3.23, 2 Al 3.45
Bi  0.5000  0.5000  0.0000  4 La 3.23, 2 Al 3.45

total magnetic moment = 0.189 μB/atom
offset from the most stable computed form = 0.243 eV/atom
total DFT energy (no corrections) = -4.699 eV per atom
space-group type = I-42d
crystal system = tetragonal